# 1
A geometry-optimized PrErMgPb structure. Source: Alexandria, functional PBE.

```
PrErMgPb
1.0
7.688 0.000 0.000
0.000 7.688 0.000
0.000 0.000 7.688
Pr Er Mg Pb
4 4 4 4
Direct
0.000 0.000 0.000
0.000 0.500 0.500
0.500 0.000 0.500
0.500 0.500 0.000
0.000 0.000 0.500
0.000 0.500 0.000
0.500 0.000 0.000
0.500 0.500 0.500
0.250 0.250 0.750
0.250 0.750 0.250
0.750 0.250 0.250
0.750 0.750 0.750
0.250 0.250 0.250
0.250 0.750 0.750
0.750 0.250 0.750
0.750 0.750 0.250
```

Values from the calculation:
energy	-63.15	eV per cell

# 2
A geometry-optimized Ga2HBr2 structure. Source: Alexandria, functional PBE.

```
Ga2HBr2
1.0
6.898 0.000 0.000
0.000 6.898 0.000
0.000 0.000 4.594
Ga H Br
4 2 4
Direct
0.187 0.313 0.000
0.313 0.813 0.000
0.687 0.187 0.000
0.813 0.687 0.000
0.000 0.000 0.000
0.500 0.500 0.000
0.169 0.669 0.500
0.331 0.169 0.500
0.669 0.831 0.500
0.831 0.331 0.500
```

Values from the calculation:
energy	-25.28	eV per cell

# 3
A geometry-optimized InNiIr structure. Source: Alexandria, functional PBE.

```
InNiIr
1.0
2.988 0.000 0.000
0.000 2.988 0.000
0.000 0.000 10.219
In Ni Ir
2 2 2
Direct
0.000 0.000 0.000
0.500 0.500 0.500
0.000 0.000 0.668
0.500 0.500 0.168
0.000 0.000 0.315
0.500 0.500 0.815
```

Values from the calculation:
energy	-34.31	eV per cell

# 4
A geometry-optimized YFe2Pb structure. Source: Alexandria, functional PBE.

```
YFe2Pb
1.0
3.510 0.000 0.000
0.000 4.679 0.000
0.000 0.000 9.441
Y Fe Pb
2 4 2
Direct
0.000 0.000 0.000
0.500 0.500 0.500
0.000 0.000 0.460
0.000 0.500 0.784
0.500 0.000 0.284
0.500 0.500 0.960
0.000 0.500 0.219
0.500 0.000 0.719
```

Values from the calculation:
energy	-52.92	eV per cell

# 5
A geometry-optimized CoIr2Cl structure. Source: Alexandria, functional PBE.

```
CoIr2Cl
1.0
4.050 0.000 0.000
0.000 4.050 0.000
0.000 0.000 6.912
Co Ir Cl
2 4 2
Direct
0.000 0.000 0.000
0.500 0.500 0.500
0.000 0.500 0.250
0.000 0.500 0.750
0.500 0.000 0.250
0.500 0.000 0.750
0.000 0.000 0.500
0.500 0.500 0.000
```

Values from the calculation:
formation energy (no corrections)	1016	meV per atom

# 6
A geometry-optimized ScInAg2 structure. Source: Alexandria, functional PBE.

```
ScInAg2
1.0
3.248 0.000 0.000
-1.624 2.813 0.000
0.000 0.000 27.767
Sc In Ag
3 3 6
Direct
0.000 0.000 0.000
0.333 0.667 0.667
0.667 0.333 0.333
0.000 0.000 0.243
0.333 0.667 0.909
0.667 0.333 0.576
0.000 0.000 0.494
0.000 0.000 0.747
0.333 0.667 0.161
0.333 0.667 0.414
0.667 0.333 0.080
0.667 0.333 0.827
```

Values from the calculation:
energy	-44.84	eV per cell